1.
NdHoNO (PBE, relaxed); spin magnetization = 0.00 μB/atom; raw total energy = -62.5 eV for the cell shown
1.0
4.980 0.000 0.000
0.000 4.980 0.000
0.000 0.000 4.897
Ho N Nd O
2 2 2 2
direct
0.750 0.750 0.001 Ho
0.250 0.250 0.999 Ho
0.250 0.250 0.500 N
0.750 0.750 0.500 N
0.750 0.250 0.500 Nd
0.250 0.750 0.500 Nd
0.750 0.250 0.000 O
0.250 0.750 0.000 O

***

2.
RbZr3 (PBE, relaxed); spin magnetization = 0.00 μB/atom; raw total energy = -47.0 eV for the cell shown
1.0
-3.996 -4.492 -5.462
-4.154 -1.921 4.620
-2.999 3.950 -1.054
Rb Zr
2 6
direct
0.081 0.000 0.000 Rb
0.252 0.500 0.500 Rb
0.587 0.243 0.000 Zr
0.880 0.500 0.000 Zr
0.587 0.757 0.000 Zr
0.453 0.000 0.500 Zr
0.747 0.257 0.500 Zr
0.747 0.743 0.500 Zr